First-principles (PBE-GGA) data for CrFe2Os after structural relaxation, as listed in Alexandria.

The formation energy comes out at 0.068 eV per atom.

It has space group P4/mmm (No. 123), with a = 3.608 Å, b = 3.608 Å, c = 3.693 Å, α = 90.00°, β = 90.00° and γ = 90.00°. Symmetry generates all atoms from Cr at (0.000, 0.000, 0.000), Fe at (0.000, 0.500, 0.500) and Os at (0.500, 0.500, 0.000).

First-principles (PBE-GGA) data for Cr2FeOs after structural relaxation, as listed in Alexandria.

The formation energy comes out at 0.124 eV per atom. The excess energy over the best structure of this formula in the dataset comes out at 3.5 kJ per mole of atoms.

It has space group Immm (No. 71), with a = 2.943 Å, b = 4.074 Å, c = 8.249 Å, α = 90.00°, β = 90.00° and γ = 90.00°. Symmetry generates all atoms from Cr at (0.000, 0.000, 0.244), Fe at (0.000, 0.500, 0.500) and Os at (0.000, 0.500, 0.000).

First-principles (PBE-GGA) data for CrFeReOs after structural relaxation, as listed in Alexandria.

The formation energy comes out at 0.153 eV per atom.

It has space group F-43m (No. 216), with a = 5.955 Å, b = 5.955 Å, c = 5.955 Å, α = 90.00°, β = 90.00° and γ = 90.00°. Symmetry generates all atoms from Cr at (0.000, 0.000, 0.000), Fe at (0.000, 0.000, 0.500), Re at (0.250, 0.250, 0.250) and Os at (0.250, 0.250, 0.750).

First-principles (PBE-GGA) data for CrFe2OsSe after structural relaxation, as listed in Alexandria.

For the raw formation energy, the calculation gives 1.300 eV/atom.

It has space group P4/mmm (No. 123), with a = 4.756 Å, b = 4.756 Å, c = 4.580 Å, α = 90.00°, β = 90.00° and γ = 90.00°. Symmetry generates all atoms from Cr at (0.000, 0.000, 0.000), Fe at (0.000, 0.500, 0.500), Os at (0.500, 0.500, 0.500) and Se at (0.500, 0.500, 0.000).

First-principles (PBE-GGA) data for CrFe3P after structural relaxation, as listed in Alexandria.

The formation energy comes out at 0.769 eV per atom. The excess energy over the best structure of this formula in the dataset comes out at 0.0 kJ per mole of atoms.

It has space group Pm-3m (No. 221), with a = 4.018 Å, b = 4.018 Å, c = 4.018 Å, α = 90.00°, β = 90.00° and γ = 90.00°. Symmetry generates all atoms from Cr at (0.000, 0.000, 0.000), Fe at (0.000, 0.500, 0.500) and P at (0.500, 0.500, 0.500).

First-principles (PBE-GGA) data for CrFeP3 after structural relaxation, as listed in Alexandria.

The formation energy comes out at 0.784 eV per atom. The excess energy over the best structure of this formula in the dataset comes out at 0.0 kJ per mole of atoms.

It has space group Pm-3m (No. 221), with a = 4.414 Å, b = 4.414 Å, c = 4.414 Å, α = 90.00°, β = 90.00° and γ = 90.00°. Symmetry generates all atoms from Cr at (0.000, 0.000, 0.000), Fe at (0.500, 0.500, 0.500) and P at (0.000, 0.000, 0.500).

First-principles (PBE-GGA) data for CrFe2P2 after structural relaxation, as listed in Alexandria.

The formation energy comes out at -0.284 eV per atom.

It has space group P4/mbm (No. 127), with a = 6.485 Å, b = 6.485 Å, c = 2.561 Å, α = 90.00°, β = 90.00° and γ = 90.00°. Symmetry generates all atoms from Cr at (0.000, 0.000, 0.000), Fe at (0.144, 0.356, 0.500) and P at (0.157, 0.657, 0.000).

First-principles (PBE-GGA) data for CrFe3P after structural relaxation, as listed in Alexandria.

The formation energy comes out at 1.286 eV per atom. The excess energy over the best structure of this formula in the dataset comes out at 49.8 kJ per mole of atoms.

It has space group Pm-3m (No. 221), with a = 4.223 Å, b = 4.223 Å, c = 4.223 Å, α = 90.00°, β = 90.00° and γ = 90.00°. Symmetry generates all atoms from Cr at (0.000, 0.000, 0.000), Fe at (0.000, 0.000, 0.500) and P at (0.500, 0.500, 0.500).

First-principles (PBE-GGA) data for CrFe2P4 after structural relaxation, as listed in Alexandria.

The formation energy comes out at -0.395 eV per atom.

It has space group Cc (No. 9), with a = 6.454 Å, b = 10.115 Å, c = 6.449 Å, α = 90.00°, β = 119.22° and γ = 90.00°. Symmetry generates all atoms from Cr at (0.000, 0.124, 0.000), Fe at (0.432, 0.125, 0.410), Fe at (0.493, 0.366, 0.917), P at (0.136, 0.285, 0.283), P at (0.147, 0.242, 0.776), P at (0.309, 0.467, 0.109) and P at (0.322, 0.006, 0.095).

First-principles (PBE-GGA) data for CrFeP6 after structural relaxation, as listed in Alexandria.

The formation energy comes out at -0.021 eV per atom.

It has space group C2 (No. 5), with a = 5.800 Å, b = 6.823 Å, c = 7.210 Å, α = 90.00°, β = 93.75° and γ = 90.00°. Symmetry generates all atoms from Cr at (0.000, 0.000, 0.000), Fe at (0.000, 0.009, 0.500), P at (0.017, 0.776, 0.732), P at (0.101, 0.210, 0.268) and P at (0.136, 0.508, 0.396).

First-principles (PBE-GGA) data for PaCrFeP2 after structural relaxation, as listed in Alexandria.

The formation energy comes out at -0.839 eV per atom.

It has space group I-4m2 (No. 119), with a = 3.936 Å, b = 3.936 Å, c = 9.344 Å, α = 90.00°, β = 90.00° and γ = 90.00°. Symmetry generates all atoms from Pa at (0.000, 0.000, 0.000), Cr at (0.000, 0.500, 0.750), Fe at (0.000, 0.500, 0.250) and P at (0.000, 0.000, 0.367).

First-principles (PBE-GGA) data for PaCrFe2P2 after structural relaxation, as listed in Alexandria.

The formation energy comes out at -0.687 eV per atom.

It has space group P-3m1 (No. 164), with a = 3.9259 Å, b = 3.9259 Å, c = 6.3004 Å, α = 90.00°, β = 90.00° and γ = 120.00°. Symmetry generates all atoms from Pa at (0.0000, 0.0000, 0.0000), Cr at (0.0000, 0.0000, 0.5000), Fe at (0.3333, 0.6667, 0.6456) and P at (0.3333, 0.6667, 0.2806).

First-principles (PBE-GGA) data for CrFeP2S after structural relaxation, as listed in Alexandria.

The excess energy over the best structure of this formula in the dataset comes out at 0.0 kJ per mole of atoms. For the raw formation energy, the calculation gives 0.724 eV/atom.

It has space group P4/mmm (No. 123), with a = 4.362 Å, b = 4.362 Å, c = 4.742 Å, α = 90.00°, β = 90.00° and γ = 90.00°. Symmetry generates all atoms from Cr at (0.000, 0.000, 0.000), Fe at (0.500, 0.500, 0.500), P at (0.000, 0.500, 0.000) and S at (0.000, 0.000, 0.500).

First-principles (PBE-GGA) data for CrFeP2S after structural relaxation, as listed in Alexandria.

The excess energy over the best structure of this formula in the dataset comes out at 16.4 kJ per mole of atoms. For the raw formation energy, the calculation gives 0.894 eV/atom.

It has space group P4/mmm (No. 123), with a = 4.158 Å, b = 4.158 Å, c = 4.812 Å, α = 90.00°, β = 90.00° and γ = 90.00°. Symmetry generates all atoms from Cr at (0.000, 0.000, 0.000), Fe at (0.500, 0.500, 0.500), P at (0.000, 0.500, 0.500) and S at (0.500, 0.500, 0.000).

First-principles (PBE-GGA) data for ScCrFeP2 after structural relaxation, as listed in Alexandria.

The formation energy comes out at -0.815 eV per atom.

It has space group I-4m2 (No. 119), with a = 3.766 Å, b = 3.766 Å, c = 9.543 Å, α = 90.00°, β = 90.00° and γ = 90.00°. Symmetry generates all atoms from Sc at (0.000, 0.000, 0.000), Cr at (0.000, 0.500, 0.750), Fe at (0.000, 0.500, 0.250) and P at (0.000, 0.000, 0.380).

First-principles (PBE-GGA) data for Sr2CrFeP after structural relaxation, as listed in Alexandria.

The formation energy comes out at 0.588 eV per atom.

It has space group P4/mmm (No. 123), with a = 5.963 Å, b = 5.963 Å, c = 4.362 Å, α = 90.00°, β = 90.00° and γ = 90.00°. Symmetry generates all atoms from Sr at (0.000, 0.500, 0.000), Cr at (0.000, 0.000, 0.000), Fe at (0.500, 0.500, 0.500) and P at (0.000, 0.000, 0.500).

First-principles (PBE-GGA) data for SrCrFeP2 after structural relaxation, as listed in Alexandria.

The formation energy comes out at -0.732 eV per atom.

It has space group I-4m2 (No. 119), with a = 3.823 Å, b = 3.823 Å, c = 11.886 Å, α = 90.00°, β = 90.00° and γ = 90.00°. Symmetry generates all atoms from Sr at (0.000, 0.000, 0.000), Cr at (0.000, 0.500, 0.750), Fe at (0.000, 0.500, 0.250) and P at (0.000, 0.000, 0.354).

First-principles (PBE-GGA) data for CrFeTcP after structural relaxation, as listed in Alexandria.

The formation energy comes out at -0.147 eV per atom.

It has space group F-43m (No. 216), with a = 5.757 Å, b = 5.757 Å, c = 5.757 Å, α = 90.00°, β = 90.00° and γ = 90.00°. Symmetry generates all atoms from Cr at (0.000, 0.000, 0.000), Fe at (0.250, 0.250, 0.250), Tc at (0.250, 0.250, 0.750) and P at (0.000, 0.000, 0.500).

First-principles (PBE-GGA) data for ThCrFeP2 after structural relaxation, as listed in Alexandria.

The formation energy comes out at -0.869 eV per atom.

It has space group I-4m2 (No. 119), with a = 3.956 Å, b = 3.956 Å, c = 9.905 Å, α = 90.00°, β = 90.00° and γ = 90.00°. Symmetry generates all atoms from Th at (0.000, 0.000, 0.000), Cr at (0.000, 0.500, 0.750), Fe at (0.000, 0.500, 0.250) and P at (0.000, 0.000, 0.359).

First-principles (PBE-GGA) data for TiCr2FeP after structural relaxation, as listed in Alexandria.

The formation energy comes out at 0.232 eV per atom.

It has space group P4/mmm (No. 123), with a = 4.209 Å, b = 4.209 Å, c = 4.041 Å, α = 90.00°, β = 90.00° and γ = 90.00°. Symmetry generates all atoms from Ti at (0.000, 0.000, 0.000), Cr at (0.000, 0.500, 0.500), Fe at (0.500, 0.500, 0.000) and P at (0.500, 0.500, 0.500).